VASP calculation (PBE) on a relaxed structure of TiAlCuSi.

Computed properties:
SG = P4/nmm, No. 129
energy = -45.2 eV for the cell shown

a b c (Å): 3.7120 3.7120 8.3551
angles (deg): 90.00 90.00 90.00
Closest atoms and distances in Å follow each position.
Fractional coordinates of all 8 atoms:
Ti (0.2500, 0.2500, 0.2440)  4 Si 2.65, 4 Cu 2.76, 4 Al 2.83
Ti (0.7500, 0.7500, 0.7560)  4 Si 2.65, 4 Cu 2.76, 4 Al 2.83
Al (0.2500, 0.7500, 0.5000)  4 Al 2.62, 4 Ti 2.83
Al (0.7500, 0.2500, 0.5000)  4 Al 2.62, 4 Ti 2.83
Cu (0.2500, 0.7500, 0.0000)  4 Si 2.51, 4 Cu 2.62, 4 Ti 2.76
Cu (0.7500, 0.2500, 0.0000)  4 Si 2.51, 4 Cu 2.62, 4 Ti 2.76
Si (0.2500, 0.2500, 0.7969)  4 Cu 2.51, 4 Ti 2.65
Si (0.7500, 0.7500, 0.2031)  4 Cu 2.51, 4 Ti 2.65

***

VASP calculation (PBE) on a relaxed structure of AlVCuSi2.

Computed properties:
SG = P4/mmm, No. 123
energy = -21.6 eV for the cell shown

a b c (Å): 4.6020 4.6020 4.6714
angles (deg): 90.00 90.00 90.00
Closest atoms and distances in Å follow each position.
Fractional coordinates of all 5 atoms:
Al (0.0000, 0.0000, 0.0000)  4 Si 2.30, 2 V 2.34
V (0.0000, 0.0000, 0.5000)  2 Al 2.34
Cu (0.5000, 0.5000, 0.5000)  4 V 3.25, 8 Si 3.28
Si (0.0000, 0.5000, 0.0000)  2 Al 2.30
Si (0.5000, 0.0000, 0.0000)  2 Al 2.30

***

VASP calculation (PBE) on a relaxed structure of AlCuSiW2.

Computed properties:
SG = P4/mmm, No. 123
energy = -34.1 eV for the cell shown

a b c (Å): 4.5527 4.5527 4.2030
angles (deg): 90.00 90.00 90.00
Closest atoms and distances in Å follow each position.
Fractional coordinates of all 5 atoms:
Al (0.0000, 0.0000, 0.0000)  8 W 3.10, 4 Cu 3.22
Cu (0.5000, 0.5000, 0.0000)  2 Si 2.10
Si (0.5000, 0.5000, 0.5000)  2 Cu 2.10, 4 W 2.28
W (0.0000, 0.5000, 0.5000)  2 Si 2.28
W (0.5000, 0.0000, 0.5000)  2 Si 2.28

***

VASP calculation (PBE) on a relaxed structure of Sm3AlCu8.

Computed properties:
SG = P3m1, No. 156
energy = -52.7 eV for the cell shown

a b c (Å): 5.2434 5.2434 8.4477
angles (deg): 90.00 90.00 120.00
Closest atoms and distances in Å follow each position.
Fractional coordinates of all 12 atoms:
Sm (0.0000, 0.0000, 0.0000)  12 Cu 3.07-3.10, 4 Sm 3.28-3.31
Sm (0.0000, 0.0000, 0.3883)  12 Cu 2.91-3.11, 3 Al 3.09
Sm (0.3333, 0.6667, 0.8429)  12 Cu 2.96-3.29, 1 Al 3.23, 3 Sm 3.31
Al (0.3333, 0.6667, 0.4600)  6 Cu 2.73-3.03
Cu (0.0030, 0.5015, 0.1897)  6 Cu 2.59-2.65, 1 Al 2.73
Cu (0.3380, 0.1690, 0.6812)  6 Cu 2.54-2.66
Cu (0.4985, 0.5015, 0.1897)  6 Cu 2.59-2.65, 1 Al 2.73
Cu (0.4985, 0.9970, 0.1897)  6 Cu 2.59-2.65, 1 Al 2.73
Cu (0.6667, 0.3333, 0.4373)  6 Cu 2.54-2.59
Cu (0.6667, 0.3333, 0.9409)  6 Cu 2.60-2.65
Cu (0.8310, 0.1690, 0.6812)  6 Cu 2.54-2.66
Cu (0.8310, 0.6620, 0.6812)  6 Cu 2.54-2.66

***

VASP calculation (PBE) on a relaxed structure of Sm2Al6Cu3.

Computed properties:
SG = P-62m, No. 189
energy = -48.3 eV for the cell shown

a b c (Å): 7.6673 7.6673 4.0377
angles (deg): 90.00 90.00 120.00
Closest atoms and distances in Å follow each position.
Fractional coordinates of all 11 atoms:
Sm (0.3333, 0.6667, 0.0000)  6 Cu 3.16, 9 Al 3.21-3.35
Sm (0.6667, 0.3333, 0.0000)  6 Cu 3.16, 9 Al 3.21-3.35
Al (0.0000, 0.3058, 0.5000)  3 Cu 2.49-2.62
Al (0.0000, 0.8034, 0.0000)  2 Cu 2.41, 2 Al 2.61
Al (0.1966, 0.1966, 0.0000)  2 Cu 2.41, 2 Al 2.61
Al (0.3058, 0.0000, 0.5000)  3 Cu 2.49-2.62
Al (0.6942, 0.6942, 0.5000)  3 Cu 2.49-2.62
Al (0.8034, 0.0000, 0.0000)  2 Cu 2.41, 2 Al 2.61
Cu (0.0000, 0.6308, 0.5000)  5 Al 2.41-2.62
Cu (0.3692, 0.3692, 0.5000)  5 Al 2.41-2.62
Cu (0.6308, 0.0000, 0.5000)  5 Al 2.41-2.62

***

VASP calculation (PBE) on a relaxed structure of Sm2Al12Cu7.

Computed properties:
SG = P-3, No. 147
energy = -89.4 eV for the cell shown

a b c (Å): 10.0326 10.0326 3.9716
angles (deg): 90.00 90.00 120.00
Closest atoms and distances in Å follow each position.
Fractional coordinates of all 21 atoms:
Sm (0.3333, 0.6667, 0.2603)  6 Cu 3.10-3.13, 9 Al 3.27-3.46
Sm (0.6667, 0.3333, 0.7397)  6 Cu 3.10-3.13, 9 Al 3.27-3.46
Al (0.0511, 0.4340, 0.7515)  4 Cu 2.49-2.56
Al (0.1163, 0.2652, 0.2544)  4 Cu 2.49-2.57, 1 Al 2.79
Al (0.1489, 0.8837, 0.2544)  4 Cu 2.49-2.57, 1 Al 2.79
Al (0.2652, 0.1489, 0.7456)  4 Cu 2.49-2.57, 1 Al 2.79
Al (0.3829, 0.9489, 0.7515)  4 Cu 2.49-2.56
Al (0.4340, 0.3829, 0.2485)  4 Cu 2.49-2.56
Al (0.5660, 0.6171, 0.7515)  4 Cu 2.49-2.56
Al (0.6171, 0.0511, 0.2485)  4 Cu 2.49-2.56
Al (0.7348, 0.8511, 0.2544)  4 Cu 2.49-2.57, 1 Al 2.79
Al (0.8511, 0.1163, 0.7456)  4 Cu 2.49-2.57, 1 Al 2.79
Al (0.8837, 0.7348, 0.7456)  4 Cu 2.49-2.57, 1 Al 2.79
Al (0.9489, 0.5660, 0.2485)  4 Cu 2.49-2.56
Cu (0.0000, 0.0000, 0.5000)  6 Al 2.51
Cu (0.1182, 0.7089, 0.7557)  7 Al 2.49-2.57
Cu (0.2911, 0.4093, 0.7557)  7 Al 2.49-2.57
Cu (0.4093, 0.1182, 0.2443)  7 Al 2.49-2.57
Cu (0.5907, 0.8818, 0.7557)  7 Al 2.49-2.57
Cu (0.7089, 0.5907, 0.2443)  7 Al 2.49-2.57
Cu (0.8818, 0.2911, 0.2443)  7 Al 2.49-2.57

***

VASP calculation (PBE) on a relaxed structure of Sm3AlCu3.

Computed properties:
SG = C2/m, No. 12
energy = -63.9 eV for the cell shown

a b c (Å): 5.7696 5.7696 14.4291
angles (deg): 108.85 108.85 43.04
Closest atoms and distances in Å follow each position.
Fractional coordinates of all 14 atoms:
Sm (0.0209, 0.0209, 0.3806)  6 Cu 3.04-3.08, 4 Al 3.11-3.17
Sm (0.1050, 0.1050, 0.9196)  7 Cu 3.07-3.14
Sm (0.2460, 0.2460, 0.2323)  6 Cu 3.02-3.21, 2 Al 3.35
Sm (0.7540, 0.7540, 0.7677)  6 Cu 3.02-3.21, 2 Al 3.35
Sm (0.8950, 0.8950, 0.0804)  7 Cu 3.07-3.14
Sm (0.9791, 0.9791, 0.6194)  6 Cu 3.04-3.08, 4 Al 3.11-3.17
Al (0.2556, 0.2556, 0.5881)  4 Cu 2.48-2.67
Al (0.7444, 0.7444, 0.4119)  4 Cu 2.48-2.67
Cu (0.3723, 0.3723, 0.4579)  3 Al 2.48-2.59, 1 Cu 2.58
Cu (0.3985, 0.3985, 0.9215)  2 Cu 2.54-2.55
Cu (0.4528, 0.4528, 0.7628)  1 Cu 2.55, 1 Al 2.67
Cu (0.5472, 0.5472, 0.2372)  1 Cu 2.55, 1 Al 2.67
Cu (0.6015, 0.6015, 0.0785)  2 Cu 2.54-2.55
Cu (0.6277, 0.6277, 0.5421)  3 Al 2.48-2.59, 1 Cu 2.58

***

VASP calculation (PBE) on a relaxed structure of Sm5AlCu4.

Computed properties:
SG = P4/mmm, No. 123
energy = -45.9 eV for the cell shown

a b c (Å): 3.5457 3.5457 18.1256
angles (deg): 90.00 90.00 90.00
Closest atoms and distances in Å follow each position.
Fractional coordinates of all 10 atoms:
Sm (0.0000, 0.0000, 0.0000)  8 Cu 3.07
Sm (0.0000, 0.0000, 0.1964)  8 Cu 3.07-3.08
Sm (0.0000, 0.0000, 0.3926)  4 Cu 3.07, 4 Al 3.17
Sm (0.0000, 0.0000, 0.6074)  4 Cu 3.07, 4 Al 3.17
Sm (0.0000, 0.0000, 0.8036)  8 Cu 3.07-3.08
Al (0.5000, 0.5000, 0.5000)  8 Sm 3.17, 4 Al 3.55
Cu (0.5000, 0.5000, 0.0977)  8 Sm 3.07-3.08
Cu (0.5000, 0.5000, 0.2945)  8 Sm 3.07
Cu (0.5000, 0.5000, 0.7055)  8 Sm 3.07
Cu (0.5000, 0.5000, 0.9023)  8 Sm 3.07-3.08

***

VASP calculation (PBE) on a relaxed structure of Sm11Al9Cu4.

Computed properties:
SG = Cmmm, No. 65
energy = -110.3 eV for the cell shown

a b c (Å): 12.8374 12.8374 3.6867
angles (deg): 90.00 90.00 112.54
Closest atoms and distances in Å follow each position.
Fractional coordinates of all 24 atoms:
Sm (0.0000, 0.0000, 0.0000)  8 Al 3.18, 2 Sm 3.49
Sm (0.0612, 0.4102, 0.0000)  2 Cu 2.87, 2 Al 3.16
Sm (0.1634, 0.8366, 0.0000)  8 Al 3.23-3.47, 3 Sm 3.37-3.49
Sm (0.3072, 0.3072, 0.0000)  4 Cu 2.91, 4 Al 3.25
Sm (0.3717, 0.6283, 0.0000)  4 Cu 2.92, 4 Al 3.22
Sm (0.4102, 0.0612, 0.0000)  2 Cu 2.87, 2 Al 3.16
Sm (0.5898, 0.9388, 0.0000)  2 Cu 2.87, 2 Al 3.16
Sm (0.6283, 0.3717, 0.0000)  4 Cu 2.92, 4 Al 3.22
Sm (0.6928, 0.6928, 0.0000)  4 Cu 2.91, 4 Al 3.25
Sm (0.8366, 0.1634, 0.0000)  8 Al 3.23-3.47, 3 Sm 3.37-3.49
Sm (0.9388, 0.5898, 0.0000)  2 Cu 2.87, 2 Al 3.16
Al (0.0814, 0.2186, 0.5000)  1 Cu 2.88, 1 Al 2.93, 4 Sm 3.16-3.18
Al (0.1675, 0.6316, 0.5000)  1 Al 2.86, 1 Cu 2.88
Al (0.2186, 0.0814, 0.5000)  1 Cu 2.88, 1 Al 2.93, 4 Sm 3.16-3.18
Al (0.3684, 0.8325, 0.5000)  1 Al 2.86, 1 Cu 2.88
Al (0.5000, 0.5000, 0.5000)  4 Cu 3.09, 8 Sm 3.30-3.31
Al (0.6316, 0.1675, 0.5000)  1 Al 2.86, 1 Cu 2.88
Al (0.7814, 0.9186, 0.5000)  1 Cu 2.88, 1 Al 2.93, 4 Sm 3.16-3.18
Al (0.8325, 0.3684, 0.5000)  1 Al 2.86, 1 Cu 2.88
Al (0.9186, 0.7814, 0.5000)  1 Cu 2.88, 1 Al 2.93, 4 Sm 3.16-3.18
Cu (0.2439, 0.4481, 0.5000)  6 Sm 2.87-2.92, 3 Al 2.88-3.09
Cu (0.4481, 0.2439, 0.5000)  6 Sm 2.87-2.92, 3 Al 2.88-3.09
Cu (0.5519, 0.7561, 0.5000)  6 Sm 2.87-2.92, 3 Al 2.88-3.09
Cu (0.7561, 0.5519, 0.5000)  6 Sm 2.87-2.92, 3 Al 2.88-3.09

***

The highest energy belongs to which entry?
AlVCuSi2